1.
# Tb12Er2Sc5

A relaxed Tb12Er2Sc5 crystal (GGA-PBE, Alexandria via LeMat-Bulk).

## Properties
spin magnetization = 0.0 μB per formula unit
energy = -4.89 eV/atom
space group = C2/m (12)
formation enthalpy at 0 K = 0.1822 eV/atom

Cell and atoms, written as POSCAR:
```
Tb12Er2Sc5
1.0
8.288 -3.455 0.000
8.288 3.455 0.000
-3.185 0.000 10.385
Tb Er Sc
12 2 5
direct
0.045 0.551 0.893
0.070 0.553 0.405
0.099 0.099 0.308
0.395 0.395 0.184
0.447 0.930 0.595
0.449 0.955 0.107
0.551 0.045 0.893
0.553 0.070 0.405
0.605 0.605 0.816
0.901 0.901 0.692
0.930 0.447 0.595
0.955 0.449 0.107
0.242 0.758 0.000
0.758 0.242 0.000
0.116 0.116 0.825
0.382 0.382 0.700
0.500 0.500 0.500
0.618 0.618 0.300
0.884 0.884 0.175
```

2.
# PmGdTiAl

A relaxed PmGdTiAl crystal (GGA-PBE, Alexandria via LeMat-Bulk).

## Properties
spin magnetization = 9.5 μB per formula unit
energy = -7.64 eV/atom
space group = F-43m (216)
formation enthalpy at 0 K = -0.0253 eV/atom

Cell and atoms, written as POSCAR:
```
PmGdTiAl
1.0
0.000 3.685 3.685
3.685 0.000 3.685
3.685 3.685 0.000
Pm Gd Ti Al
1 1 1 1
direct
0.000 0.000 0.000
0.500 0.500 0.500
0.250 0.250 0.250
0.750 0.750 0.750
```

3.
# PmPu3Tl2O12

A relaxed PmPu3Tl2O12 crystal (GGA-PBE, Alexandria via LeMat-Bulk).

## Properties
spin magnetization = 5.0 μB per formula unit
energy = -8.52 eV/atom
formation energy without anion corrections = -2.297 eV per atom
space group = R-3m (166)

Cell and atoms, written as POSCAR:
```
PmPu3Tl2O12
1.0
4.088 2.360 5.243
-4.088 2.360 5.243
0.000 -4.720 5.243
Pm Pu Tl O
1 3 2 12
direct
0.000 0.000 0.000
0.000 0.000 0.500
0.000 0.500 0.000
0.500 0.000 0.000
0.390 0.390 0.390
0.610 0.610 0.610
0.092 0.753 0.753
0.140 0.140 0.572
0.140 0.572 0.140
0.247 0.247 0.908
0.247 0.908 0.247
0.428 0.860 0.860
0.572 0.140 0.140
0.753 0.092 0.753
0.753 0.753 0.092
0.860 0.428 0.860
0.860 0.860 0.428
0.908 0.247 0.247
```

4.
# Tb6ErTm8

A relaxed Tb6ErTm8 crystal (GGA-PBE, Alexandria via LeMat-Bulk).

## Properties
spin magnetization = 0.0 μB per formula unit
energy = -4.30 eV/atom
space group = P-3 (147)
formation enthalpy at 0 K = 0.2459 eV/atom

Cell and atoms, written as POSCAR:
```
Tb6ErTm8
1.0
9.305 0.000 0.000
-4.652 8.058 0.000
0.000 0.000 6.439
Tb Er Tm
6 1 8
direct
0.094 0.681 0.091
0.319 0.413 0.091
0.413 0.094 0.909
0.587 0.906 0.091
0.681 0.587 0.909
0.906 0.319 0.909
0.000 0.000 0.000
0.024 0.335 0.402
0.311 0.976 0.402
0.333 0.667 0.660
0.335 0.311 0.598
0.665 0.689 0.402
0.667 0.333 0.340
0.689 0.024 0.598
0.976 0.665 0.598
```

5.
# TiSe2I

A relaxed TiSe2I crystal (GGA-PBE, Alexandria via LeMat-Bulk).

## Properties
spin magnetization = 0.8 μB per formula unit
energy = -4.47 eV/atom
energy above the most stable polymorph in this dataset = 0.388 eV per atom
formation energy without anion corrections = -0.368 eV per atom
space group = I-42d (122)

Cell and atoms, written as POSCAR:
```
TiSe2I
1.0
-3.547 3.547 5.343
3.547 -3.547 5.343
3.547 3.547 -5.343
Ti Se I
2 4 2
direct
0.000 0.000 0.000
0.750 0.250 0.500
0.007 0.625 0.882
0.375 0.257 0.382
0.743 0.125 0.118
0.875 0.993 0.618
0.250 0.750 0.500
0.500 0.500 0.000
```

6.
# Pm2Dy4MgSc

A relaxed Pm2Dy4MgSc crystal (GGA-PBE, Alexandria via LeMat-Bulk).

## Properties
spin magnetization = 0.0 μB per formula unit
energy = -4.44 eV/atom
space group = P4/mmm (123)
formation enthalpy at 0 K = 0.0350 eV/atom

Cell and atoms, written as POSCAR:
```
Pm2Dy4MgSc
1.0
4.951 0.000 0.000
0.000 4.951 0.000
0.000 0.000 9.885
Pm Dy Mg Sc
2 4 1 1
direct
0.000 0.000 0.000
0.500 0.500 0.500
0.000 0.500 0.246
0.000 0.500 0.754
0.500 0.000 0.246
0.500 0.000 0.754
0.000 0.000 0.500
0.500 0.500 0.000
```

7.
# HoFe10Mo

A relaxed HoFe10Mo crystal (GGA-PBE, Alexandria via LeMat-Bulk).

## Properties
spin magnetization = 16.1 μB per formula unit
energy = -8.22 eV/atom
space group = Pmmm (47)
formation enthalpy at 0 K = 0.1184 eV/atom

Cell and atoms, written as POSCAR:
```
HoFe10Mo
1.0
3.989 0.000 0.000
0.000 4.790 0.000
0.000 0.000 8.258
Ho Fe Mo
1 10 1
direct
0.000 0.000 0.000
0.000 0.000 0.346
0.000 0.000 0.654
0.000 0.500 0.185
0.000 0.500 0.815
0.500 0.000 0.500
0.500 0.254 0.261
0.500 0.254 0.739
0.500 0.500 0.000
0.500 0.746 0.261
0.500 0.746 0.739
0.000 0.500 0.500
```

8.
# SbAsPb3

A relaxed SbAsPb3 crystal (GGA-PBE, Alexandria via LeMat-Bulk).

## Properties
spin magnetization = 0.0 μB per formula unit
energy = -3.94 eV/atom
energy above the most stable polymorph in this dataset = 0.000 eV per atom
formation energy without anion corrections = 0.038 eV per atom
space group = P2_1/m (11)

Cell and atoms, written as POSCAR:
```
SbAsPb3
1.0
7.667 0.000 0.000
0.000 4.359 0.000
-0.840 0.000 9.613
Sb As Pb
2 2 6
direct
0.131 0.250 0.221
0.869 0.750 0.779
0.413 0.250 0.820
0.587 0.750 0.180
0.103 0.250 0.634
0.264 0.750 0.970
0.357 0.750 0.394
0.643 0.250 0.606
0.736 0.250 0.030
0.897 0.750 0.366
```

9.
# Li2AcSn

A relaxed Li2AcSn crystal (GGA-PBE, Alexandria via LeMat-Bulk).

## Properties
spin magnetization = 0.0 μB per formula unit
energy = -3.21 eV/atom
energy above the most stable polymorph in this dataset = 0.177 eV per atom
space group = P4/mmm (123)
formation enthalpy at 0 K = -0.2281 eV/atom

Cell and atoms, written as POSCAR:
```
Li2AcSn
1.0
4.785 0.000 0.000
0.000 4.785 0.000
0.000 0.000 5.018
Li Ac Sn
2 1 1
direct
0.000 0.500 0.000
0.500 0.000 0.000
0.000 0.000 0.500
0.500 0.500 0.500
```

10.
# FeTcSe2

A relaxed FeTcSe2 crystal (GGA-PBE, Alexandria via LeMat-Bulk).

## Properties
spin magnetization = 1.6 μB per formula unit
energy = -6.68 eV/atom
energy above the most stable polymorph in this dataset = 0.000 eV per atom
formation energy without anion corrections = -0.234 eV per atom
space group = P-4m2 (115)

Cell and atoms, written as POSCAR:
```
FeTcSe2
1.0
3.749 0.000 0.000
0.000 3.749 0.000
0.000 0.000 6.247
Fe Tc Se
1 1 2
direct
0.000 0.000 0.000
0.500 0.500 0.000
0.000 0.500 0.749
0.500 0.000 0.251
```

11.
# UTiCdO6

A relaxed UTiCdO6 crystal (GGA-PBE, Alexandria via LeMat-Bulk).

## Properties
spin magnetization = 0.0 μB per formula unit
energy = -8.15 eV/atom
formation energy without anion corrections = -2.613 eV per atom
space group = P-31c (163)

Cell and atoms, written as POSCAR:
```
UTiCdO6
1.0
5.451 0.000 0.000
-2.725 4.721 0.000
0.000 0.000 9.525
U Ti Cd O
2 2 2 12
direct
0.333 0.667 0.250
0.667 0.333 0.750
0.333 0.667 0.750
0.667 0.333 0.250
0.000 0.000 0.000
0.000 0.000 0.500
0.014 0.370 0.640
0.014 0.645 0.860
0.355 0.370 0.860
0.355 0.986 0.640
0.370 0.014 0.140
0.370 0.355 0.360
0.630 0.645 0.640
0.630 0.986 0.860
0.645 0.014 0.360
0.645 0.630 0.140
0.986 0.355 0.140
0.986 0.630 0.360
```

12.
# FeWC3

A relaxed FeWC3 crystal (GGA-PBE, Alexandria via LeMat-Bulk).

## Properties
spin magnetization = 0.1 μB per formula unit
energy = -7.48 eV/atom
energy above the most stable polymorph in this dataset = 0.206 eV per atom
space group = Pm-3m (221)
formation enthalpy at 0 K = 2.3406 eV/atom

Cell and atoms, written as POSCAR:
```
FeWC3
1.0
4.040 0.000 0.000
0.000 4.040 0.000
0.000 0.000 4.040
Fe W C
1 1 3
direct
0.000 0.000 0.000
0.500 0.500 0.500
0.000 0.500 0.500
0.500 0.000 0.500
0.500 0.500 0.000
```

13.
# Ce2Tc2N7

A relaxed Ce2Tc2N7 crystal (GGA-PBE, Alexandria via LeMat-Bulk).

## Properties
spin magnetization = 0.0 μB per formula unit
energy = -8.73 eV/atom
formation energy without anion corrections = -0.471 eV per atom
space group = C2/m (12)

Cell and atoms, written as POSCAR:
```
Ce2Tc2N7
1.0
3.730 -4.771 0.000
3.730 4.771 0.000
-1.116 0.000 4.940
Ce Tc N
2 2 7
direct
0.195 0.805 0.000
0.805 0.195 0.000
0.276 0.276 0.593
0.724 0.724 0.407
0.101 0.415 0.788
0.109 0.109 0.267
0.415 0.101 0.788
0.500 0.500 0.500
0.585 0.899 0.212
0.891 0.891 0.733
0.899 0.585 0.212
```

14.
# AgP2Ir

A relaxed AgP2Ir crystal (GGA-PBE, Alexandria via LeMat-Bulk).

## Properties
spin magnetization = 0.0 μB per formula unit
energy = -5.29 eV/atom
energy above the most stable polymorph in this dataset = 0.387 eV per atom
space group = Imm2 (44)
formation enthalpy at 0 K = 0.3397 eV/atom

Cell and atoms, written as POSCAR:
```
AgP2Ir
1.0
-1.496 2.247 4.528
1.496 -2.247 4.528
1.496 2.247 -4.528
Ag P Ir
1 2 1
direct
0.000 0.000 0.000
0.490 0.490 0.000
0.716 0.216 0.500
0.285 0.785 0.500
```

15.
# LiLa2NdTe4

A relaxed LiLa2NdTe4 crystal (GGA-PBE, Alexandria via LeMat-Bulk).

## Properties
spin magnetization = 0.0 μB per formula unit
energy = -5.09 eV/atom
formation energy without anion corrections = -1.451 eV per atom
space group = P2/m (10)

Cell and atoms, written as POSCAR:
```
LiLa2NdTe4
1.0
7.741 0.000 0.000
0.000 4.515 0.000
-2.641 0.000 7.415
Li La Nd Te
1 2 1 4
direct
0.000 0.000 0.000
0.500 0.000 0.500
0.500 0.500 0.000
0.000 0.500 0.500
0.235 0.500 0.238
0.239 0.000 0.755
0.761 0.000 0.245
0.765 0.500 0.762
```

16.
# BeRe2As

A relaxed BeRe2As crystal (GGA-PBE, Alexandria via LeMat-Bulk).

## Properties
spin magnetization = 0.0 μB per formula unit
energy = -7.81 eV/atom
energy above the most stable polymorph in this dataset = 0.542 eV per atom
space group = I-42d (122)
formation enthalpy at 0 K = 0.5037 eV/atom

Cell and atoms, written as POSCAR:
```
BeRe2As
1.0
-1.924 1.924 8.462
1.924 -1.924 8.462
1.924 1.924 -8.462
Be Re As
2 4 2
direct
0.000 0.000 0.000
0.750 0.250 0.500
0.066 0.625 0.941
0.375 0.316 0.441
0.684 0.125 0.059
0.875 0.934 0.559
0.250 0.750 0.500
0.500 0.500 0.000
```

17.
# ScMnHgI6

A relaxed ScMnHgI6 crystal (GGA-PBE, Alexandria via LeMat-Bulk).

## Properties
spin magnetization = 4.3 μB per formula unit
energy = -3.47 eV/atom
formation energy without anion corrections = -0.677 eV per atom
space group = P312 (149)

Cell and atoms, written as POSCAR:
```
ScMnHgI6
1.0
7.418 0.000 0.000
-3.709 6.424 0.000
0.000 0.000 7.389
Sc Mn Hg I
1 1 1 6
direct
0.000 0.000 0.000
0.667 0.333 0.000
0.333 0.667 0.500
0.337 0.033 0.223
0.337 0.304 0.777
0.696 0.033 0.777
0.696 0.663 0.223
0.967 0.304 0.223
0.967 0.663 0.777
```

18.
# CeHf2Rh

A relaxed CeHf2Rh crystal (GGA-PBE, Alexandria via LeMat-Bulk).

## Properties
spin magnetization = 0.0 μB per formula unit
energy = -8.49 eV/atom
energy above the most stable polymorph in this dataset = 0.167 eV per atom
space group = Fm-3m (225)
formation enthalpy at 0 K = -0.1900 eV/atom

Cell and atoms, written as POSCAR:
```
CeHf2Rh
1.0
0.000 3.396 3.396
3.396 0.000 3.396
3.396 3.396 0.000
Ce Hf Rh
1 2 1
direct
0.000 0.000 0.000
0.250 0.250 0.250
0.750 0.750 0.750
0.500 0.500 0.500
```

19.
# SmDyTm2Se6

A relaxed SmDyTm2Se6 crystal (GGA-PBE, Alexandria via LeMat-Bulk).

## Properties
spin magnetization = 0.0 μB per formula unit
energy = -5.76 eV/atom
formation energy without anion corrections = -1.842 eV per atom
space group = R3 (146)

Cell and atoms, written as POSCAR:
```
SmDyTm2Se6
1.0
3.600 2.078 6.461
-3.600 2.078 6.461
0.000 -4.157 6.461
Sm Dy Tm Se
1 1 2 6
direct
0.000 0.000 0.000
0.497 0.497 0.497
0.301 0.301 0.301
0.803 0.803 0.803
0.087 0.690 0.415
0.200 0.586 0.905
0.415 0.087 0.690
0.586 0.905 0.200
0.690 0.415 0.087
0.905 0.200 0.586
```

20.
# Ca2AcPb

A relaxed Ca2AcPb crystal (GGA-PBE, Alexandria via LeMat-Bulk).

## Properties
spin magnetization = 0.0 μB per formula unit
energy = -3.25 eV/atom
energy above the most stable polymorph in this dataset = 0.029 eV per atom
space group = P4/mmm (123)
formation enthalpy at 0 K = -0.2985 eV/atom

Cell and atoms, written as POSCAR:
```
Ca2AcPb
1.0
5.144 0.000 0.000
0.000 5.144 0.000
0.000 0.000 5.409
Ca Ac Pb
2 1 1
direct
0.000 0.500 0.000
0.500 0.000 0.000
0.000 0.000 0.500
0.500 0.500 0.500
```